Entry 1:
Below is crystalline ErSCl at its relaxed geometry, with properties calculated at the GGA-PBEsol level.

```
ErSCl
1.0
3.8919 0.0000 0.0000
0.0000 5.2712 0.0000
0.0000 0.0000 7.7600
S Er Cl
2 2 2
Cartesian
1.9460 0.0000 7.0202
0.0000 2.6356 0.7398
1.9460 2.6356 6.6361
0.0000 0.0000 1.1239
1.9460 0.0000 2.8662
0.0000 2.6356 4.8937
```

Computed properties:
The value obtained for the total magnetization is 0.000 μB/f.u. The space-group type is No. 59. The calculation puts the total energy at -35.8 eV/cell. For the formation energy (no corrections), the calculation gives -2.19 eV/atom.

Entry 2:
Below is crystalline Li2CuTe at its relaxed geometry, with properties calculated at the GGA-PBEsol level.

```
Li2CuTe
1.0
-0.3522 1.3018 3.4171
-3.6531 -0.2674 -0.2803
0.2128 -4.8791 1.8807
Te Li Cu
1 2 1
Cartesian
-2.0027 0.5172 1.5684
0.1605 -3.6791 1.4181
0.0523 -1.2000 0.4625
-1.8963 -1.9223 2.5088
```

Computed properties:
The value obtained for the total magnetization is 0.000 μB/f.u. The space-group type is No. 65. The calculation puts the total energy at -12.8 eV/cell. For the formation energy (no corrections), the calculation gives -0.25 eV/atom.